# UFe12Si6

Crystalline UFe12Si6 at its relaxed geometry (PBE-GGA, Alexandria).

Cell and atoms, written as CIF:
```
data_UFe12Si6
_chemical_formula_sum 'U3 Fe36 Si18'
_cell_length_a 10.4565
_cell_length_b 10.4565
_cell_length_c 7.7563
_cell_angle_alpha 90.00
_cell_angle_beta 90.00
_cell_angle_gamma 120.00
_symmetry_space_group_name_H-M 'R -3 m'
_symmetry_Int_Tables_number 166
_symmetry_space_group_name_Hall '-R 3 2"'
loop_
_atom_site_label
_atom_site_type_symbol
_atom_site_fract_x
_atom_site_fract_y
_atom_site_fract_z
U1 U 0.0000 0.0000 0.0000
Fe1 Fe 0.0000 0.3760 0.5000
Fe2 Fe 0.0876 0.1752 0.3346
Si1 Si 0.0287 0.5143 0.2641
```

Output
As for the density of states at the Fermi level: 1.077 states/eV per atom. The formation energy (no corrections) comes out at -0.1945 eV/atom.